(1)
Rb12In3Cl5 | PBE | relaxed

Cell and atoms, written as POSCAR:
```
Rb12In3Cl5
1.0
-10.3844 10.3844 10.3844
10.3844 -10.3844 10.3844
10.3844 10.3844 -10.3844
Rb In Cl
48 12 20
Direct
0.0337 0.2095 0.1253 Rb
0.0337 0.3242 0.9085 Rb
0.0843 0.7095 0.6758 Rb
0.0843 0.8747 0.4085 Rb
0.0915 0.6253 0.4157 Rb
0.0915 0.9663 0.6758 Rb
0.1253 0.0337 0.2095 Rb
0.1253 0.5915 0.9157 Rb
0.1758 0.2095 0.5843 Rb
0.1758 0.4663 0.5915 Rb
0.2095 0.1253 0.0337 Rb
0.2095 0.5843 0.1758 Rb
0.2905 0.3242 0.9157 Rb
0.2905 0.4663 0.3747 Rb
0.3242 0.9085 0.0337 Rb
0.3242 0.9157 0.2905 Rb
0.3747 0.2905 0.4663 Rb
0.3747 0.5843 0.9085 Rb
0.4085 0.0843 0.8747 Rb
0.4085 0.8242 0.5337 Rb
0.4157 0.0915 0.6253 Rb
0.4157 0.8242 0.7905 Rb
0.4663 0.3747 0.2905 Rb
0.4663 0.5915 0.1758 Rb
0.5337 0.4085 0.8242 Rb
0.5337 0.6253 0.7095 Rb
0.5843 0.1758 0.2095 Rb
0.5843 0.9085 0.3747 Rb
0.5915 0.1758 0.4663 Rb
0.5915 0.9157 0.1253 Rb
0.6253 0.4157 0.0915 Rb
0.6253 0.7095 0.5337 Rb
0.6758 0.0843 0.7095 Rb
0.6758 0.0915 0.9663 Rb
0.7095 0.5337 0.6253 Rb
0.7095 0.6758 0.0843 Rb
0.7905 0.4157 0.8242 Rb
0.7905 0.8747 0.9663 Rb
0.8242 0.5337 0.4085 Rb
0.8242 0.7905 0.4157 Rb
0.8747 0.4085 0.0843 Rb
0.8747 0.9663 0.7905 Rb
0.9085 0.0337 0.3242 Rb
0.9085 0.3747 0.5843 Rb
0.9157 0.1253 0.5915 Rb
0.9157 0.2905 0.3242 Rb
0.9663 0.6758 0.0915 Rb
0.9663 0.7905 0.8747 Rb
0.1250 0.2500 0.3750 In
0.1250 0.3750 0.7500 In
0.2500 0.3750 0.1250 In
0.2500 0.8750 0.6250 In
0.3750 0.1250 0.2500 In
0.3750 0.7500 0.1250 In
0.6250 0.2500 0.8750 In
0.6250 0.8750 0.7500 In
0.7500 0.1250 0.3750 In
0.7500 0.6250 0.8750 In
0.8750 0.6250 0.2500 In
0.8750 0.7500 0.6250 In
0.0000 0.0000 0.0000 Cl
0.0000 0.0000 0.5000 Cl
0.0000 0.5000 0.0000 Cl
0.0000 0.5000 0.5000 Cl
0.1250 0.7500 0.8750 Cl
0.1250 0.8750 0.2500 Cl
0.2500 0.1250 0.8750 Cl
0.2500 0.6250 0.3750 Cl
0.3750 0.2500 0.6250 Cl
0.3750 0.6250 0.7500 Cl
0.5000 0.0000 0.0000 Cl
0.5000 0.0000 0.5000 Cl
0.5000 0.5000 0.0000 Cl
0.5000 0.5000 0.5000 Cl
0.6250 0.3750 0.2500 Cl
0.6250 0.7500 0.3750 Cl
0.7500 0.3750 0.6250 Cl
0.7500 0.8750 0.1250 Cl
0.8750 0.1250 0.7500 Cl
0.8750 0.2500 0.1250 Cl
```

Properties
The value obtained for the total energy is -2.289 eV/atom. As for the density of states at the Fermi level: 0.577 states/eV per atom. As for the calculated volume: 4479.2 Å³ per cell.

***

(2)
RbInCl2 | PBE | relaxed

Cell and atoms, written as POSCAR:
```
RbInCl2
1.0
3.9173 0.0000 0.0000
0.0000 3.9173 0.0000
0.0000 0.0000 7.8809
Rb In Cl
1 1 2
Direct
0.0000 0.0000 0.0000 Rb
0.0000 0.0000 0.5000 In
0.5000 0.5000 0.2532 Cl
0.5000 0.5000 0.7468 Cl
```

Properties
As for the density of states at the Fermi level: 0.000 states/eV per atom. Its energy above the most stable polymorph in this dataset is 0.066 eV per atom. As for the calculated volume: 120.9 Å³ per cell.

***

(3)
RbInCl2 | PBE | relaxed

Cell and atoms, written as POSCAR:
```
RbInCl2
1.0
2.2756 1.3138 7.9427
-2.2756 1.3138 7.9427
0.0000 -2.6276 7.9427
Rb In Cl
1 1 2
Direct
0.0000 0.0000 0.0000 Rb
0.1684 0.1684 0.1684 In
0.5816 0.5816 0.5816 Cl
0.7535 0.7535 0.7535 Cl
```

Properties
As for the density of states at the Fermi level: 0.000 states/eV per atom. Its energy above the most stable polymorph in this dataset is 0.037 eV per atom. As for the calculated volume: 142.5 Å³ per cell.

***

(4)
Rb3InCl6 | PBE | relaxed

Cell and atoms, written as POSCAR:
```
Rb3InCl6
1.0
6.4847 3.7439 5.1240
-6.4847 3.7439 5.1240
0.0000 -7.4879 5.1240
Rb In Cl
6 2 12
Direct
0.0679 0.7506 0.5713 Rb
0.2494 0.4287 0.9321 Rb
0.4287 0.9321 0.2494 Rb
0.5713 0.0679 0.7506 Rb
0.7506 0.5713 0.0679 Rb
0.9321 0.2494 0.4287 Rb
0.0000 0.0000 0.0000 In
0.5000 0.5000 0.5000 In
0.0478 0.7288 0.9334 Cl
0.0666 0.9522 0.2712 Cl
0.2330 0.4251 0.5594 Cl
0.2712 0.0666 0.9522 Cl
0.4250 0.5594 0.2330 Cl
0.4406 0.7670 0.5750 Cl
0.5594 0.2330 0.4250 Cl
0.5750 0.4406 0.7670 Cl
0.7288 0.9334 0.0478 Cl
0.7670 0.5750 0.4406 Cl
0.9334 0.0478 0.7288 Cl
0.9522 0.2712 0.0666 Cl
```

Properties
The value obtained for the total energy is -3.327 eV/atom. As for the density of states at the Fermi level: 0.000 states/eV per atom. As for the calculated volume: 746.4 Å³ per cell.

***

(5)
RbInCl2 | PBE | relaxed

Cell and atoms, written as POSCAR:
```
RbInCl2
1.0
-3.5952 3.5952 7.4108
3.5952 -3.5952 7.4108
3.5952 3.5952 -7.4108
Rb In Cl
2 2 4
Direct
0.0000 0.0000 0.0000 Rb
0.7500 0.2500 0.5000 Rb
0.2500 0.7500 0.5000 In
0.5000 0.5000 0.0000 In
0.1426 0.6250 0.0176 Cl
0.3750 0.3926 0.5176 Cl
0.6074 0.1250 0.9824 Cl
0.8750 0.8574 0.4824 Cl
```

Properties
As for the density of states at the Fermi level: 0.000 states/eV per atom. Its energy above the most stable polymorph in this dataset is 0.084 eV per atom. As for the calculated volume: 383.2 Å³ per cell.

***

(6)
RbIn3Cl | PBE | relaxed

Cell and atoms, written as POSCAR:
```
RbIn3Cl
1.0
5.8907 0.0000 0.0000
0.0000 5.8907 0.0000
0.0000 0.0000 5.8907
Rb In Cl
1 3 1
Direct
0.0000 0.0000 0.0000 Rb
0.0000 0.5000 0.5000 In
0.5000 0.0000 0.5000 In
0.5000 0.5000 0.0000 In
0.5000 0.5000 0.5000 Cl
```

Properties
As for the density of states at the Fermi level: 0.545 states/eV per atom. Its energy above the most stable polymorph in this dataset is 0.000 eV per atom. As for the calculated volume: 204.4 Å³ per cell.